No. 1
Computed, not measured: a relaxed structure of RbMnCr2Cl8 at the PBE level of DFT.

a = 5.937 Å, b = 6.049 Å, c = 9.868 Å
α = 88.03°, β = 83.47°, γ = 83.27°
Space group P-1 (No. 2)
Asymmetric unit:
Rb 0.000 0.000 0.000 [1 per cell]
Mn 0.000 0.000 0.500 [1 per cell]
Cr 0.463 0.488 0.674 [2 per cell]
Cl 0.208 0.820 0.682 [2 per cell]
Cl 0.251 0.817 0.309 [2 per cell]
Cl 0.284 0.335 0.494 [2 per cell]
Cl 0.303 0.399 0.886 [2 per cell]

Summary:
Formation energy (no corrections), meV per atom: -1133.3

=====

No. 2
Computed, not measured: a relaxed structure of TbCe2Ag2Pb2 at the PBE level of DFT.

a = 4.8274 Å, b = 4.8274 Å, c = 26.9669 Å
α = 90.00°, β = 90.00°, γ = 120.00°
Space group R-3m (No. 166, hexagonal axes)
Asymmetric unit:
Tb 0.0000 0.0000 0.0000 [3 per cell]
Ce 0.0000 0.0000 0.1441 [6 per cell]
Ag 0.0000 0.0000 0.4305 [6 per cell]
Pb 0.0000 0.0000 0.2713 [6 per cell]

Summary:
Energy of formation from the pure elements, eV per formula unit: -1.5

=====

No. 3
Computed, not measured: a relaxed structure of Tm6PaO12 at the PBE level of DFT.

a = 9.9383 Å, b = 9.9383 Å, c = 9.2362 Å
α = 90.00°, β = 90.00°, γ = 120.00°
Space group R-3 (No. 148, hexagonal axes)
Asymmetric unit:
Tm 0.0386 0.2520 0.1438 [18 per cell]
Pa 0.0000 0.0000 0.5000 [3 per cell]
O 0.0311 0.2170 0.8958 [18 per cell]
O 0.0334 0.2053 0.3861 [18 per cell]

Summary:
Formation energy (no corrections), meV per atom: -3554.3

=====

No. 4
Computed, not measured: a relaxed structure of CuC at the PBE level of DFT.

a = 2.547 Å, b = 4.086 Å, c = 7.203 Å
α = 90.00°, β = 90.00°, γ = 90.00°
Space group Imma (No. 74)
Asymmetric unit:
Cu 0.000 0.250 0.092 [4 per cell]
C 0.000 0.250 0.800 [4 per cell]

Summary:
Energy of formation from the pure elements, eV per formula unit: 1.4
Energy above the lowest structure with this stoichiometry, eV/atom: 0.458

=====

Number 1: final energy -4.813 eV per atom. Number 2: final energy -4.442 eV per atom. Number 3: final energy -8.598 eV per atom. Number 4: final energy -5.982 eV per atom.